[1]
DyEr4Pd2: optimized geometry, PBE-GGA.

Results
DFT formation energy in eV per atom: -0.454
Offset from the most stable computed form in eV per formula unit: 0.00
Magnetization in μB/cell: 0.0
Uncorrected energy in Ha/atom: -0.191

Lattice parameters (Å, degrees): 7.786 6.318 8.045 90.00 112.66 90.00
Space group P2_1/m (No. 11)
Inequivalent atoms, fractional coordinates:
Dy (0.155, 0.250, 0.025) (multiplicity 2)
Er (0.021, 0.250, 0.392) (multiplicity 2)
Er (0.246, 0.750, 0.348) (multiplicity 2)
Er (0.407, 0.004, 0.770) (multiplicity 4)
Pd (0.240, 0.750, 0.991) (multiplicity 2)
Pd (0.382, 0.250, 0.420) (multiplicity 2)


[2]
DyErPd: optimized geometry, PBE-GGA.

Results
DFT formation energy in eV per atom: -0.565
Offset from the most stable computed form in eV per formula unit: 0.03
Magnetization in μB/cell: 0.0
Uncorrected energy in Ha/atom: -0.197

Lattice parameters (Å, degrees): 3.532 3.532 12.134 90.00 90.00 90.00
Space group I4mm (No. 107)
Inequivalent atoms, fractional coordinates:
Dy (0.000, 0.000, 0.000) (multiplicity 2)
Er (0.000, 0.000, 0.276) (multiplicity 2)
Pd (0.000, 0.000, 0.642) (multiplicity 2)


[3]
Dy6ErPd2: optimized geometry, PBE-GGA.

Results
DFT formation energy in eV per atom: -0.382
Magnetization in μB/cell: 0.0
Uncorrected energy in Ha/atom: -0.188

Lattice parameters (Å, degrees): 16.045 3.679 10.757 90.00 129.12 90.00
Space group C2/m (No. 12)
Inequivalent atoms, fractional coordinates:
Dy (0.032, 0.000, 0.190) (multiplicity 4)
Dy (0.193, 0.500, 0.554) (multiplicity 4)
Dy (0.213, 0.500, 0.110) (multiplicity 4)
Er (0.000, 0.000, 0.500) (multiplicity 2)
Pd (0.093, 0.500, 0.763) (multiplicity 4)


[4]
Dy3ErPd6: optimized geometry, PBE-GGA.

Results
DFT formation energy in eV per atom: -0.854
Magnetization in μB/cell: 0.0
Uncorrected energy in Ha/atom: -0.213

Lattice parameters (Å, degrees): 8.287 4.917 10.338 90.00 107.29 90.00
Space group P2_1/m (No. 11)
Inequivalent atoms, fractional coordinates:
Dy (0.020, 0.250, 0.386) (multiplicity 2)
Dy (0.141, 0.750, 0.195) (multiplicity 2)
Dy (0.293, 0.250, 0.989) (multiplicity 2)
Er (0.436, 0.250, 0.609) (multiplicity 2)
Pd (0.056, 0.750, 0.907) (multiplicity 2)
Pd (0.144, 0.250, 0.695) (multiplicity 2)
Pd (0.259, 0.750, 0.489) (multiplicity 2)
Pd (0.349, 0.250, 0.304) (multiplicity 2)
Pd (0.354, 0.750, 0.801) (multiplicity 2)
Pd (0.426, 0.750, 0.109) (multiplicity 2)


[5]
DyEr2Pd: optimized geometry, PBE-GGA.

Results
DFT formation energy in eV per atom: -0.486
Offset from the most stable computed form in eV per formula unit: 0.00
Magnetization in μB/cell: 0.0
Uncorrected energy in Ha/atom: -0.192

Lattice parameters (Å, degrees): 6.981 9.599 6.433 90.00 90.00 90.00
Space group Pnma (No. 62)
Inequivalent atoms, fractional coordinates:
Dy (0.021, 0.250, 0.130) (multiplicity 4)
Er (0.181, 0.059, 0.676) (multiplicity 8)
Pd (0.110, 0.750, 0.441) (multiplicity 4)


[6]
Dy3ErPd: optimized geometry, PBE-GGA.

Results
DFT formation energy in eV per atom: -0.361
Offset from the most stable computed form in eV per formula unit: 0.00
Magnetization in μB/cell: 0.0
Uncorrected energy in Ha/atom: -0.186

Lattice parameters (Å, degrees): 12.178 3.692 13.774 90.00 115.59 90.00
Space group Cm (No. 8)
Inequivalent atoms, fractional coordinates:
Dy (0.000, 0.000, 0.000) (multiplicity 2)
Dy (0.026, 0.000, 0.363) (multiplicity 2)
Dy (0.172, 0.500, 0.235) (multiplicity 2)
Dy (0.199, 0.500, 0.600) (multiplicity 2)
Dy (0.351, 0.000, 0.471) (multiplicity 2)
Dy (0.465, 0.000, 0.762) (multiplicity 2)
Er (0.235, 0.000, 0.840) (multiplicity 2)
Er (0.348, 0.000, 0.128) (multiplicity 2)
Pd (0.017, 0.000, 0.625) (multiplicity 2)
Pd (0.185, 0.500, 0.976) (multiplicity 2)


[7]
Dy3ErPd: optimized geometry, PBE-GGA.

Results
DFT formation energy in eV per atom: -0.266
Offset from the most stable computed form in eV per formula unit: 0.48
Magnetization in μB/cell: 0.0
Uncorrected energy in Ha/atom: -0.183

Lattice parameters (Å, degrees): 11.494 8.460 7.881 90.00 128.65 90.00
Space group C2/m (No. 12)
Inequivalent atoms, fractional coordinates:
Dy (0.040, 0.000, 0.314) (multiplicity 4)
Dy (0.208, 0.301, 0.740) (multiplicity 8)
Er (0.072, 0.500, 0.272) (multiplicity 4)
Pd (0.230, 0.500, 0.084) (multiplicity 4)


[8]
Dy3Er3Pd4: optimized geometry, PBE-GGA.

Results
DFT formation energy in eV per atom: -0.748
Magnetization in μB/cell: 0.0
Uncorrected energy in Ha/atom: -0.205

Lattice parameters (Å, degrees): 3.959 10.980 10.930 90.00 90.00 90.00
Space group Amm2 (No. 38)
Inequivalent atoms, fractional coordinates:
Dy (0.000, 0.000, 0.000) (multiplicity 2)
Dy (0.000, 0.165, 0.664) (multiplicity 4)
Er (0.000, 0.000, 0.330) (multiplicity 2)
Er (0.500, 0.250, 0.414) (multiplicity 4)
Pd (0.500, 0.000, 0.529) (multiplicity 2)
Pd (0.500, 0.000, 0.798) (multiplicity 2)
Pd (0.500, 0.133, 0.166) (multiplicity 4)